1.
Material: Ca2YZn9
Method: DFT, GGA-PBE
State: optimized geometry

For the formation energy, the calculation gives -0.26 eV per atom. As for the crystal system: trigonal. For the density of states at the Fermi level, the calculation gives 7.80 states/eV/cell. The value obtained for the electronic total energy is -25.11 eV/cell.

Unit cell a=5.4782 b=5.4782 c=9.1817 alpha=72.64 beta=72.64 gamma=60.00
Sites, in units of the cell vectors:
Zn (0.0757, 0.5841, 0.7561)
Zn (0.4159, 0.4159, 0.2439)
Zn (0.5841, 0.5841, 0.7561)
Zn (0.6651, 0.6651, 0.0046)
Zn (0.5000, 0.5000, 0.5000)
Zn (0.3349, 0.3349, 0.9954)
Zn (0.9243, 0.4159, 0.2439)
Zn (0.5841, 0.0757, 0.7561)
Zn (0.4159, 0.9243, 0.2439)
Y (0.0000, 0.0000, 0.0000)
Ca (0.1420, 0.1420, 0.5740)
Ca (0.8580, 0.8580, 0.4260)

=====

2.
Material: CaY2Zn
Method: DFT, GGA-PBE
State: optimized geometry

For the formation energy, the calculation gives 0.02 eV per atom. As for the crystal system: monoclinic. For the density of states at the Fermi level, the calculation gives 3.70 states/eV/cell. The value obtained for the electronic total energy is -16.11 eV/cell.

Unit cell a=5.0142 b=3.7551 c=6.6521 alpha=72.63 beta=90.00 gamma=90.00
Sites, in units of the cell vectors:
Y (0.0000, 0.0934, 0.0324)
Y (0.0000, 0.4066, 0.4676)
Zn (0.5000, 0.2500, 0.2500)
Ca (0.5000, 0.7500, 0.7500)